Cr3CdN: relaxed, PBE.

Unit cell a=3.9133 b=3.9133 c=3.9133 alpha=90.00 beta=90.00 gamma=90.00
Space group Pm-3m (No. 221)
One atom of each set of equivalent atoms:
Cr 0.0000 0.0000 0.5000 (multiplicity 3)
Cd 0.5000 0.5000 0.5000 (multiplicity 1)
N 0.0000 0.0000 0.0000 (multiplicity 1)

Calculated values
Formation energy (no corrections): 28 meV/atom

---

AcLaSb: relaxed, PBE.

Unit cell a=4.2929 b=4.2929 c=11.2159 alpha=90.00 beta=90.00 gamma=90.00
Space group I4mm (No. 107)
One atom of each set of equivalent atoms:
Ac 0.0000 0.0000 0.0000 (multiplicity 2)
La 0.0000 0.0000 0.7058 (multiplicity 2)
Sb 0.0000 0.0000 0.3388 (multiplicity 2)

Calculated values
Formation energy (no corrections): -675 meV/atom
E above lowest polymorph: 151 meV/atom

---

LiZr2Cl: relaxed, PBE.

Unit cell a=3.9928 b=3.9928 c=21.8319 alpha=90.00 beta=90.00 gamma=90.00
Space group I-42d (No. 122)
One atom of each set of equivalent atoms:
Li 0.0000 0.0000 0.0000 (multiplicity 4)
Zr 0.2424 0.2500 0.6250 (multiplicity 8)
Cl 0.0000 0.0000 0.5000 (multiplicity 4)

Calculated values
Formation energy (no corrections): 99 meV/atom
E above lowest polymorph: 651 meV/atom

---

MnCu2Pb: relaxed, PBE.

Unit cell a=6.3924 b=6.3924 c=6.3924 alpha=90.00 beta=90.00 gamma=90.00
Space group F-43m (No. 216)
One atom of each set of equivalent atoms:
Mn 0.0000 0.0000 0.0000 (multiplicity 4)
Cu 0.0000 0.0000 0.5000 (multiplicity 4)
Cu 0.2500 0.2500 0.7500 (multiplicity 4)
Pb 0.2500 0.2500 0.2500 (multiplicity 4)

Calculated values
Formation enthalpy at 0 K: 0.341 eV/atom

---

NdEuTl4: relaxed, PBE.

Unit cell a=8.9418 b=8.9418 c=8.9418 alpha=90.00 beta=90.00 gamma=90.00
Space group F-43m (No. 216)
One atom of each set of equivalent atoms:
Nd 0.0000 0.0000 0.0000 (multiplicity 4)
Eu 0.2500 0.2500 0.2500 (multiplicity 4)
Tl 0.1253 0.1253 0.6253 (multiplicity 16)

Calculated values
Formation enthalpy at 0 K: -0.177 eV/atom

---

SrNiTe2: relaxed, PBE.

Unit cell a=3.9466 b=3.9466 c=27.7968 alpha=90.00 beta=90.00 gamma=120.00
Space group R-3m (No. 166, hexagonal axes)
One atom of each set of equivalent atoms:
Sr 0.0000 0.0000 0.0000 (multiplicity 3)
Ni 0.0000 0.0000 0.5000 (multiplicity 3)
Te 0.0000 0.0000 0.1188 (multiplicity 6)

Calculated values
Formation energy (no corrections): -235 meV/atom

---

Dy2NiSn: relaxed, PBE.

Unit cell a=10.7675 b=4.8173 c=8.5184 alpha=90.00 beta=113.19 gamma=90.00
Space group C2/c (No. 15)
One atom of each set of equivalent atoms:
Dy 0.1696 0.9998 0.0848 (multiplicity 8)
Ni 0.0000 0.0006 0.2500 (multiplicity 4)
Sn 0.0000 0.4994 0.7500 (multiplicity 4)

Calculated values
Formation enthalpy at 0 K: -0.297 eV/atom
E above lowest polymorph: 217 meV/atom

---

Al5Ge: relaxed, PBE.

Unit cell a=4.0338 b=12.2927 c=4.0876 alpha=90.00 beta=90.00 gamma=90.00
Space group Cmmm (No. 65)
One atom of each set of equivalent atoms:
Al 0.0000 0.0000 0.0000 (multiplicity 2)
Al 0.0000 0.1692 0.5000 (multiplicity 4)
Al 0.0000 0.3305 0.0000 (multiplicity 4)
Ge 0.0000 0.5000 0.5000 (multiplicity 2)

Calculated values
Formation enthalpy at 0 K: 0.065 eV/atom

---

LaPaNiS4: relaxed, PBE.

Unit cell a=6.3190 b=5.9890 c=7.8675 alpha=90.00 beta=107.04 gamma=90.00
Space group P2_1/m (No. 11)
One atom of each set of equivalent atoms:
La 0.2478 0.2500 0.4396 (multiplicity 2)
Pa 0.2563 0.2500 0.9426 (multiplicity 2)
Ni 0.2643 0.7500 0.1732 (multiplicity 2)
S 0.0668 0.7500 0.8967 (multiplicity 2)
S 0.0716 0.7500 0.3715 (multiplicity 2)
S 0.4804 0.5119 0.7626 (multiplicity 4)

Calculated values
Formation energy (no corrections): -1558 meV/atom

---

YBi3P: relaxed, PBE.

Unit cell a=5.8876 b=5.8876 c=5.8876 alpha=90.00 beta=90.00 gamma=90.00
Space group Pm-3m (No. 221)
One atom of each set of equivalent atoms:
Y 0.0000 0.0000 0.0000 (multiplicity 1)
Bi 0.0000 0.0000 0.5000 (multiplicity 3)
P 0.5000 0.5000 0.5000 (multiplicity 1)

Calculated values
Formation enthalpy at 0 K: 0.844 eV/atom
E above lowest polymorph: 651 meV/atom

---

Sc3CdC: relaxed, PBE.

Unit cell a=6.2010 b=8.0931 c=8.2225 alpha=90.00 beta=90.00 gamma=90.00
Space group Pnma (No. 62)
One atom of each set of equivalent atoms:
Sc 0.0360 0.0730 0.1470 (multiplicity 8)
Sc 0.2363 0.2500 0.7539 (multiplicity 4)
Cd 0.0000 0.0000 0.5000 (multiplicity 4)
C 0.0114 0.7500 0.0497 (multiplicity 4)

Calculated values
Formation enthalpy at 0 K: 0.020 eV/atom
E above lowest polymorph: 484 meV/atom

---

Q: Which electronic total energy values were calculated for the entries above? A: -7.59 -5.06 -5.12 -4.93 -4.26 -3.67 -5.04 -3.82 -6.80 -3.86 -5.81, in eV per atom.